# SmInIr, optimized geometry, DFT PBEsol
data_SmInIr
_chemical_formula_sum 'Sm3 In3 Ir3'
_space_group_name_H-M_alt 'P -6 2 m'
_space_group_IT_number 189
_space_group_name_Hall 'P -6 -2'
_cell_length_a 7.4510
_cell_length_b 7.4510
_cell_length_c 3.9865
_cell_angle_alpha 90.00
_cell_angle_beta 90.00
_cell_angle_gamma 120.00
loop_
_atom_site_label
_atom_site_type_symbol
_atom_site_fract_x
_atom_site_fract_y
_atom_site_fract_z
Sm1 Sm 0.0000 0.4086 0.0000
In1 In 0.0000 0.7465 0.5000
Ir1 Ir 0.0000 0.0000 0.0000
Ir2 Ir 0.3333 0.6667 0.5000
# Energy of formation from the pure elements: -667 meV/atom